A plane-wave DFT calculation with GGA-PBE was carried out for crystalline SbPbSe3 at its relaxed geometry.

abc: 8.372 4.012 8.902
angles: 90.00 96.66 90.00
Fractional coordinates of all 10 atoms:
Sb (0.167, 0.250, 0.130)
Sb (0.833, 0.750, 0.870)
Pb (0.402, 0.750, 0.669)
Pb (0.598, 0.250, 0.331)
Se (0.070, 0.250, 0.826)
Se (0.283, 0.250, 0.449)
Se (0.387, 0.750, 0.081)
Se (0.613, 0.250, 0.919)
Se (0.717, 0.750, 0.551)
Se (0.930, 0.750, 0.174)

Calculated volume   148.5 Å³/f.u.
D(E_F)   4.086 states/eV/cell
ΔE_f (raw)   -271 meV/atom

A plane-wave DFT calculation with GGA-PBE was carried out for crystalline PmErSn at its relaxed geometry.

abc: 7.320 7.320 7.320
angles: 90.00 90.00 90.00
Fractional coordinates of all 12 atoms:
Pm (0.000, 0.000, 0.000)
Pm (0.000, 0.500, 0.500)
Pm (0.500, 0.000, 0.500)
Pm (0.500, 0.500, 0.000)
Er (0.000, 0.000, 0.500)
Er (0.000, 0.500, 0.000)
Er (0.500, 0.000, 0.000)
Er (0.500, 0.500, 0.500)
Sn (0.250, 0.250, 0.250)
Sn (0.250, 0.750, 0.750)
Sn (0.750, 0.250, 0.750)
Sn (0.750, 0.750, 0.250)

Calculated volume   98.1 Å³/f.u.
D(E_F)   12.573 states/eV/cell
Formation enthalpy at 0 K   -0.397 eV per atom

A plane-wave DFT calculation with GGA-PBE was carried out for crystalline La2Tb6NdSm3 at its relaxed geometry.

abc: 6.286 6.286 11.925
angles: 95.03 95.03 120.01
Fractional coordinates of all 12 atoms:
La (0.166, 0.834, 0.000)
La (0.834, 0.166, 0.000)
Tb (0.083, 0.415, 0.747)
Tb (0.252, 0.252, 0.253)
Tb (0.415, 0.083, 0.747)
Tb (0.585, 0.917, 0.253)
Tb (0.748, 0.748, 0.747)
Tb (0.917, 0.585, 0.253)
Nd (0.500, 0.500, 0.000)
Sm (0.000, 0.000, 0.500)
Sm (0.333, 0.667, 0.500)
Sm (0.667, 0.333, 0.500)

Calculated volume   401.6 Å³/f.u.
D(E_F)   15.568 states/eV/cell
Formation enthalpy at 0 K   0.014 eV per atom

A plane-wave DFT calculation with GGA-PBE was carried out for crystalline ErHf3Sc2N6 at its relaxed geometry.

abc: 5.598 5.598 5.624
angles: 99.59 99.59 119.91
Fractional coordinates of all 12 atoms:
Er (0.000, 0.000, 0.000)
Hf (0.168, 0.832, 0.500)
Hf (0.500, 0.500, 0.500)
Hf (0.832, 0.168, 0.500)
Sc (0.333, 0.667, 0.000)
Sc (0.667, 0.333, 0.000)
N (0.087, 0.427, 0.261)
N (0.253, 0.253, 0.739)
N (0.427, 0.087, 0.261)
N (0.573, 0.913, 0.739)
N (0.747, 0.747, 0.261)
N (0.913, 0.573, 0.739)

Calculated volume   144.0 Å³/f.u.
D(E_F)   3.121 states/eV/cell
ΔE_f (raw)   -1872 meV/atom

A plane-wave DFT calculation with GGA-PBE was carried out for crystalline Tb5Np2Ru5 at its relaxed geometry.

abc: 4.941 4.941 12.587
angles: 101.18 101.18 59.96
Fractional coordinates of all 12 atoms:
Tb (0.000, 0.000, 0.000)
Tb (0.190, 0.190, 0.572)
Tb (0.281, 0.281, 0.842)
Tb (0.719, 0.719, 0.158)
Tb (0.810, 0.810, 0.428)
Np (0.426, 0.426, 0.277)
Np (0.574, 0.574, 0.723)
Ru (0.112, 0.112, 0.334)
Ru (0.359, 0.359, 0.075)
Ru (0.500, 0.500, 0.500)
Ru (0.641, 0.641, 0.925)
Ru (0.888, 0.888, 0.666)

Calculated volume   259.3 Å³/f.u.
D(E_F)   19.492 states/eV/cell
Formation enthalpy at 0 K   -0.110 eV per atom

- Among the records above, which one has the lowest D(E_F)?
  ErHf3Sc2N6